[1]
Density functional theory data (PBE) for a relaxed structure of ScAgGeS3.

The energy above the most stable polymorph in this dataset is 6.2 meV per atom. Its density is 4.20 g/cm3.

It has space group Cmcm (No. 63), with a = 3.6950 Å, b = 13.6822 Å, c = 10.0618 Å, α = 90.00°, β = 90.00° and γ = 90.00°. Symmetry generates all atoms from Sc at (0.0000, 0.0000, 0.0000), Ag at (0.0000, 0.3363, 0.2500), Ge at (0.0000, 0.3304, 0.7500), S at (0.0000, 0.0500, 0.2500) and S at (0.0000, 0.3699, 0.0152).

---

[2]
Density functional theory data (PBE) for a relaxed structure of PrReB4.

The energy above the most stable polymorph in this dataset is 0.0 meV per atom. Its density is 9.60 g/cm3.

It has space group P6/mmm (No. 191), with a = 3.1513 Å, b = 3.1513 Å, c = 7.4463 Å, α = 90.00°, β = 90.00° and γ = 120.00°. Symmetry generates all atoms from Pr at (0.0000, 0.0000, 0.0000), Re at (0.0000, 0.0000, 0.5000) and B at (0.3333, 0.6667, 0.2887).

---

[3]
Density functional theory data (PBE) for a relaxed structure of BaPuSi.

The energy above the most stable polymorph in this dataset is 0.0 meV per atom. Its density is 6.58 g/cm3.

It has space group F-43m (No. 216), with a = 7.4492 Å, b = 7.4492 Å, c = 7.4492 Å, α = 90.00°, β = 90.00° and γ = 90.00°. Symmetry generates all atoms from Ba at (0.0000, 0.0000, 0.0000), Pu at (0.0000, 0.0000, 0.5000) and Si at (0.2500, 0.2500, 0.2500).

---

[4]
Density functional theory data (PBE) for a relaxed structure of YZnFePt.

The calculation puts the formation enthalpy at 0 K at -1.118 eV per formula unit. The energy above the most stable polymorph in this dataset is 0.0 meV per atom. Its density is 9.72 g/cm3.

It has space group F-43m (No. 216), with a = 6.5177 Å, b = 6.5177 Å, c = 6.5177 Å, α = 90.00°, β = 90.00° and γ = 90.00°. Symmetry generates all atoms from Y at (0.0000, 0.0000, 0.0000), Zn at (0.0000, 0.0000, 0.5000), Fe at (0.2500, 0.2500, 0.7500) and Pt at (0.2500, 0.2500, 0.2500).

---

Question: Among the records above, which one has the lowest density?
Answer: ScAgGeS3